! KFe3Ir PBE-GGA optimized geometry; values from VASP
&SYSTEM
  ibrav = 0, nat = 10, ntyp = 3
/
ATOMIC_SPECIES
Ir 192.22 Ir.upf
K 39.10 K.upf
Fe 55.84 Fe.upf
ATOMIC_POSITIONS angstrom
Ir 0.000 0.000 0.000
K 3.387 0.000 2.401
Ir 0.000 0.000 4.802
Fe 1.687 1.700 4.802
Fe 1.700 -1.687 4.802
Fe 0.000 0.000 7.203
K 0.000 3.387 2.401
Fe 1.687 5.073 0.000
Fe 1.700 1.687 0.000
Fe 0.000 0.000 2.401
CELL_PARAMETERS angstrom
-3.387 3.387 4.802
3.387 -3.387 4.802
3.387 3.387 -4.802
! V: 220.30 Å³ per cell
! Uncorrected energy: -59.95 eV/cell

***

! KErCdTe3 PBE-GGA optimized geometry; values from VASP
&SYSTEM
  ibrav = 0, nat = 12, ntyp = 4
/
ATOMIC_SPECIES
K 39.10 K.upf
Cd 112.41 Cd.upf
Te 127.60 Te.upf
Er 167.26 Er.upf
ATOMIC_POSITIONS angstrom
K 4.080 1.116 8.164
Cd 4.884 1.116 1.172
Te 1.602 3.349 6.707
Te 6.613 3.349 0.589
Te -0.962 1.116 9.954
Te 6.439 3.349 6.845
Er -0.549 1.116 6.701
Te 4.049 1.116 3.836
Er 6.200 3.349 3.842
Te -0.788 1.116 3.698
K 1.572 3.349 2.379
Cd 0.767 3.349 9.371
CELL_PARAMETERS angstrom
9.085 0.000 0.000
0.000 4.466 0.000
-3.434 0.000 10.543
! V: 427.73 Å³ per cell
! Uncorrected energy: -44.43 eV/cell

***

! ErLuGa PBE-GGA optimized geometry; values from VASP
&SYSTEM
  ibrav = 0, nat = 3, ntyp = 3
/
ATOMIC_SPECIES
Ga 69.72 Ga.upf
Er 167.26 Er.upf
Lu 174.97 Lu.upf
ATOMIC_POSITIONS angstrom
Ga 0.000 0.000 0.000
Er 1.725 1.725 1.725
Lu 5.176 5.176 5.176
CELL_PARAMETERS angstrom
0.000 3.450 3.450
3.450 0.000 3.450
3.450 3.450 0.000
! V: 82.16 Å³ per cell
! Uncorrected energy: -12.87 eV/cell

***

! Ta4SbPbC2 PBE-GGA optimized geometry; values from VASP
&SYSTEM
  ibrav = 0, nat = 8, ntyp = 4
/
ATOMIC_SPECIES
Ta 180.95 Ta.upf
C 12.01 C.upf
Sb 121.76 Sb.upf
Pb 207.20 Pb.upf
ATOMIC_POSITIONS angstrom
Ta 1.661 0.959 11.214
Ta 1.661 0.959 2.397
C 0.000 1.918 3.497
C 0.000 1.918 10.114
Ta 0.000 0.000 9.004
Sb 1.661 0.959 6.805
Pb 0.000 0.000 0.000
Ta 0.000 0.000 4.607
CELL_PARAMETERS angstrom
3.322 0.000 0.000
-1.661 2.877 0.000
0.000 0.000 13.611
! V: 130.10 Å³ per cell
! Uncorrected energy: -75.52 eV/cell

***

! RbDy2Ag3Te5 PBE-GGA optimized geometry; values from VASP
&SYSTEM
  ibrav = 0, nat = 22, ntyp = 4
/
ATOMIC_SPECIES
Te 127.60 Te.upf
Ag 107.87 Ag.upf
Dy 162.50 Dy.upf
Rb 85.47 Rb.upf
ATOMIC_POSITIONS angstrom
Te 2.278 3.858 4.598
Ag 2.278 1.386 0.576
Te 2.278 -5.238 7.846
Dy 2.278 -5.022 10.930
Ag 2.278 -1.386 17.817
Te 2.278 5.238 10.547
Ag 2.278 -2.667 4.598
Te 2.278 5.238 17.043
Te 2.278 1.004 11.437
Dy 2.278 5.022 1.733
Te 2.278 1.004 16.152
Te 2.278 -5.238 1.350
Te 2.278 -1.004 2.241
Rb 2.278 -7.185 4.598
Te 2.278 -1.004 6.956
Te 2.278 -3.858 13.795
Rb 2.278 7.185 13.795
Dy 2.278 -5.022 16.660
Ag 2.278 -1.386 9.772
Dy 2.278 5.022 7.463
Ag 2.278 2.667 13.795
Ag 2.278 1.386 8.621
CELL_PARAMETERS angstrom
2.278 -8.110 0.000
2.278 8.110 0.000
0.000 0.000 18.393
! V: 679.71 Å³ per cell
! Uncorrected energy: -88.11 eV/cell

***

! Cu2Ag PBE-GGA optimized geometry; values from VASP
&SYSTEM
  ibrav = 0, nat = 9, ntyp = 2
/
ATOMIC_SPECIES
Ag 107.87 Ag.upf
Cu 63.55 Cu.upf
ATOMIC_POSITIONS angstrom
Ag -0.796 -2.972 -1.668
Cu -3.507 -2.539 2.897
Ag -1.308 -1.139 2.562
Cu 0.202 -3.986 0.716
Cu -2.147 -2.881 0.639
Cu -2.680 -0.714 4.818
Cu -3.862 2.811 2.080
Cu -1.079 -3.743 2.863
Ag -2.274 -0.132 0.124
CELL_PARAMETERS angstrom
-0.168 -3.352 5.022
-3.967 4.137 1.907
0.697 -4.643 -3.800
! V: 125.24 Å³ per cell
! Uncorrected energy: -30.02 eV/cell